Arrangement 1

Entry from Alexandria: a relaxed structure of Li2LaAg (GGA-PBE).

a b c (Å): 3.5178 5.1430 5.4366
angles (deg): 90.00 90.00 90.00
With the nearest neighbours (Å) after each atom.
Sites, in units of the cell vectors:
1 Li 0.0000 0.0000 0.0000  4 Li 3.12, 4 Ag 3.24
2 Li 0.5000 0.5000 0.0000  4 Li 3.12, 4 La 3.24
3 La 0.0000 0.5000 0.5000  4 Ag 3.12, 4 Li 3.24
4 Ag 0.5000 0.0000 0.5000  4 La 3.12, 4 Li 3.24

Values from the calculation:
Size of the total moment ... 0.00 μB/cell
Theoretical density ... 4.401 Mg/m³
SG ... No. 47


Arrangement 2

Entry from Alexandria: a relaxed structure of Li2LaAg (GGA-PBE).

a b c (Å): 11.1021 11.1021 11.1021
angles (deg): 157.40 157.40 32.17
With the nearest neighbours (Å) after each atom.
Sites, in units of the cell vectors:
1 Li 0.0420 0.6250 0.9170  2 Li 2.62
2 Li 0.3750 0.2920 0.4170  2 Li 2.62
3 Li 0.7080 0.1250 0.0830  2 Li 2.62
4 Li 0.8750 0.9580 0.5830  2 Li 2.62
5 La 0.2500 0.7500 0.5000  4 Ag 3.08, 4 Li 3.22
6 La 0.5000 0.5000 0.0000  4 Ag 3.08, 4 Li 3.22
7 Ag 0.0000 0.0000 0.0000  4 Li 2.97, 4 La 3.08
8 Ag 0.7500 0.2500 0.5000  4 Li 2.97, 4 La 3.08

Values from the calculation:
Size of the total moment ... 0.00 μB/cell
Theoretical density ... 4.288 Mg/m³
SG ... No. 122


Name the least stable of them. arrangement 2.


Arrangement 1

Entry from Alexandria: a relaxed structure of LiLaAg3 (GGA-PBE).

a b c (Å): 4.5546 4.5546 6.2049
angles (deg): 111.43 111.43 89.89
With the nearest neighbours (Å) after each atom.
Sites, in units of the cell vectors:
1 Li 0.0000 0.0000 0.0000  5 Ag 2.49-2.57
2 La 0.6360 0.6360 0.2698  12 Ag 3.38-3.53, 4 Li 3.52-3.54
3 Ag 0.2361 0.2361 0.4679  1 Li 2.49
4 Ag 0.3889 0.8907 0.7772  2 Li 2.57, 2 Ag 2.81
5 Ag 0.8907 0.3889 0.7772  2 Li 2.57, 2 Ag 2.81

Values from the calculation:
Size of the total moment ... 0.00 μB/cell
Theoretical density ... 7.071 Mg/m³
SG ... No. 8


Arrangement 2

Entry from Alexandria: a relaxed structure of LiLaAg3 (GGA-PBE).

a b c (Å): 13.1944 5.8400 5.8423
angles (deg): 90.00 90.00 90.00
With the nearest neighbours (Å) after each atom.
Sites, in units of the cell vectors:
1 Li 0.0004 0.2500 0.2500  8 Ag 2.80-2.92
2 Li 0.9996 0.7500 0.7500  8 Ag 2.80-2.92
3 Li 0.5004 0.2500 0.7500  8 Ag 2.80-2.92
4 Li 0.4996 0.7500 0.2500  8 Ag 2.80-2.92
5 La 0.2500 0.0000 0.0012  8 Ag 3.24-3.25
6 La 0.2500 0.5000 0.4988  8 Ag 3.24-3.25
7 La 0.7500 0.0000 0.9988  8 Ag 3.24-3.25
8 La 0.7500 0.5000 0.5012  8 Ag 3.24-3.25
9 Ag 0.0008 0.7500 0.2500  4 Ag 2.80, 4 Li 2.92
10 Ag 0.1430 0.0004 0.5016  3 Ag 2.80-2.82, 2 Li 2.80
11 Ag 0.1430 0.4996 0.9984  3 Ag 2.80-2.82, 2 Li 2.80
12 Ag 0.3570 0.9996 0.5016  3 Ag 2.80-2.82, 2 Li 2.80
13 Ag 0.3570 0.5004 0.9984  3 Ag 2.80-2.82, 2 Li 2.80
14 Ag 0.4992 0.2500 0.2500  4 Ag 2.80, 4 Li 2.92
15 Ag 0.5008 0.7500 0.7500  4 Ag 2.80, 4 Li 2.92
16 Ag 0.6430 0.0004 0.4984  3 Ag 2.80-2.82, 2 Li 2.80
17 Ag 0.6430 0.4996 0.0016  3 Ag 2.80-2.82, 2 Li 2.80
18 Ag 0.8570 0.9996 0.4984  3 Ag 2.80-2.82, 2 Li 2.80
19 Ag 0.8570 0.5004 0.0016  3 Ag 2.80-2.82, 2 Li 2.80
20 Ag 0.9992 0.2500 0.7500  4 Ag 2.80, 4 Li 2.92

Values from the calculation:
Size of the total moment ... 0.00 μB/cell
Theoretical density ... 6.926 Mg/m³
SG ... No. 52


Name the least stable of them. arrangement 1.


Arrangement 1

Entry from Alexandria: a relaxed structure of LiLaAg3 (GGA-PBE).

a b c (Å): 5.7447 5.7447 5.7447
angles (deg): 90.00 90.00 90.00
With the nearest neighbours (Å) after each atom.
Sites, in units of the cell vectors:
1 Li 0.0000 0.0000 0.0000  12 Ag 4.06
2 La 0.5000 0.5000 0.5000  6 Ag 2.87
3 Ag 0.0000 0.5000 0.5000  2 La 2.87
4 Ag 0.5000 0.0000 0.5000  2 La 2.87
5 Ag 0.5000 0.5000 0.0000  2 La 2.87

Values from the calculation:
Size of the total moment ... 0.00 μB/cell
Theoretical density ... 4.112 Mg/m³
SG ... No. 221


Arrangement 2

Entry from Alexandria: a relaxed structure of LiLaAg3 (GGA-PBE).

a b c (Å): 4.7993 4.7993 4.7993
angles (deg): 90.00 90.00 90.00
With the nearest neighbours (Å) after each atom.
Sites, in units of the cell vectors:
1 Li 0.0000 0.0000 0.0000  6 Ag 2.40
2 La 0.5000 0.5000 0.5000  12 Ag 3.39
3 Ag 0.0000 0.0000 0.5000  2 Li 2.40
4 Ag 0.0000 0.5000 0.0000  2 Li 2.40
5 Ag 0.5000 0.0000 0.0000  2 Li 2.40

Values from the calculation:
Size of the total moment ... 0.00 μB/cell
Theoretical density ... 7.052 Mg/m³
SG ... No. 221


Name the least stable of them. arrangement 1.


Arrangement 1

Entry from Alexandria: a relaxed structure of LiLaAg (GGA-PBE).

a b c (Å): 5.0649 5.0649 5.0649
angles (deg): 60.00 60.00 60.00
With the nearest neighbours (Å) after each atom.
Sites, in units of the cell vectors:
1 Li 0.0000 0.0000 0.0000  4 La 3.10
2 La 0.2500 0.2500 0.2500  4 Ag 3.10, 4 Li 3.10
3 Ag 0.5000 0.5000 0.5000  4 La 3.10

Values from the calculation:
Size of the total moment ... 0.00 μB/cell
Theoretical density ... 4.586 Mg/m³
SG ... No. 216


Arrangement 2

Entry from Alexandria: a relaxed structure of LiLaAg (GGA-PBE).

a b c (Å): 7.3371 7.3371 4.8037
angles (deg): 90.00 90.00 120.00
With the nearest neighbours (Å) after each atom.
Sites, in units of the cell vectors:
1 Li 0.0000 0.2263 0.0000  2 Li 2.88, 4 Ag 2.92
2 Li 0.2263 0.0000 0.0000  2 Li 2.88, 4 Ag 2.92
3 Li 0.7737 0.7737 0.0000  2 Li 2.88, 4 Ag 2.92
4 La 0.0000 0.5693 0.5000  5 Ag 3.16-3.24, 2 Li 3.48
5 La 0.4307 0.4307 0.5000  5 Ag 3.16-3.24, 2 Li 3.48
6 La 0.5693 0.0000 0.5000  5 Ag 3.16-3.24, 2 Li 3.48
7 Ag 0.0000 0.0000 0.5000  6 Li 2.92, 3 La 3.16
8 Ag 0.3333 0.6667 0.0000  3 Li 2.92, 6 La 3.24
9 Ag 0.6667 0.3333 0.0000  3 Li 2.92, 6 La 3.24

Values from the calculation:
Size of the total moment ... 0.00 μB/cell
Theoretical density ... 5.644 Mg/m³
SG ... No. 189


Name the least stable of them. arrangement 1.